TbTlSn2I8: optimized geometry, PBE-GGA.

## Properties
ΔE_f (raw) in eV per atom: -0.79
V in Å³/atom: 45.36
Calculated total energy in eV/cell: -36.86

```
data_TbTlSn2I8
_chemical_formula_sum 'Tb1 Tl1 Sn2 I8'
_cell_length_a 7.3209
_cell_length_b 7.7844
_cell_length_c 9.5523
_cell_angle_alpha 89.98
_cell_angle_beta 89.96
_cell_angle_gamma 88.96
_symmetry_space_group_name_H-M 'P -1'
_symmetry_Int_Tables_number 2
_symmetry_space_group_name_Hall '-P 1'
loop_
_atom_site_label
_atom_site_type_symbol
_atom_site_fract_x
_atom_site_fract_y
_atom_site_fract_z
Tb1 Tb 0.0000 0.0000 0.0000
Tl1 Tl 0.0000 0.0000 0.5000
Sn1 Sn 0.4999 0.4998 0.2512
I1 I 0.2369 0.3252 0.0001
I2 I 0.2483 0.8433 0.2242
I3 I 0.2487 0.8437 0.7756
I4 I 0.2702 0.3620 0.5003
```

Pd7Au2: optimized geometry, PBE-GGA.

## Properties
V in Å³/atom: 15.96
Calculated total energy in eV/cell: -43.10

```
data_Pd7Au2
_chemical_formula_sum 'Pd7 Au2'
_cell_length_a 4.8944
_cell_length_b 4.8944
_cell_length_c 6.9251
_cell_angle_alpha 90.00
_cell_angle_beta 90.00
_cell_angle_gamma 120.00
_symmetry_space_group_name_H-M 'P -3 1 m'
_symmetry_Int_Tables_number 162
_symmetry_space_group_name_Hall '-P 3 2'
loop_
_atom_site_label
_atom_site_type_symbol
_atom_site_fract_x
_atom_site_fract_y
_atom_site_fract_z
Pd1 Pd 0.0000 0.0000 0.0000
Pd2 Pd 0.0000 0.3318 0.6634
Au1 Au 0.3333 0.6667 0.0000
```

WCl: optimized geometry, PBE-GGA.

## Properties
ΔE_f (raw) in eV per atom: -0.21
V in Å³/atom: 22.29
Calculated total energy in eV/cell: -30.42
Energy relative to the lowest polymorph listed for this composition in meV/atom: 37.6

```
data_WCl
_chemical_formula_sum 'W2 Cl2'
_cell_length_a 3.3833
_cell_length_b 2.9482
_cell_length_c 8.9386
_cell_angle_alpha 90.00
_cell_angle_beta 90.73
_cell_angle_gamma 90.00
_symmetry_space_group_name_H-M 'P 1 21/m 1'
_symmetry_Int_Tables_number 11
_symmetry_space_group_name_Hall '-P 2yb'
loop_
_atom_site_label
_atom_site_type_symbol
_atom_site_fract_x
_atom_site_fract_y
_atom_site_fract_z
W1 W 0.2471 0.2500 0.4142
Cl1 Cl 0.2403 0.7500 0.1982
```

ScTiPdRh2: optimized geometry, PBE-GGA.

## Properties
V in Å³/atom: 18.97
Calculated total energy in eV/cell: -29.90

```
data_ScTiPdRh2
_chemical_formula_sum 'Sc1 Ti1 Pd1 Rh2'
_cell_length_a 4.5252
_cell_length_b 4.5252
_cell_length_c 4.6315
_cell_angle_alpha 90.00
_cell_angle_beta 90.00
_cell_angle_gamma 90.00
_symmetry_space_group_name_H-M 'P 4/m m m'
_symmetry_Int_Tables_number 123
_symmetry_space_group_name_Hall '-P 4 2'
loop_
_atom_site_label
_atom_site_type_symbol
_atom_site_fract_x
_atom_site_fract_y
_atom_site_fract_z
Sc1 Sc 0.0000 0.0000 0.0000
Ti1 Ti 0.0000 0.0000 0.5000
Pd1 Pd 0.5000 0.5000 0.5000
Rh1 Rh 0.0000 0.5000 0.0000
```